[1]
# Nd7HoTm2 GGA-PBE relaxed
data_Nd7HoTm2
_chemical_formula_sum 'Nd14 Ho2 Tm4'
_symmetry_space_group_name_H-M 'C m m m'
_symmetry_Int_Tables_number 65
_symmetry_space_group_name_Hall '-C 2 2'
_cell_length_a 8.892
_cell_length_b 16.407
_cell_length_c 5.673
_cell_angle_alpha 90.00
_cell_angle_beta 90.00
_cell_angle_gamma 90.00
loop_
_atom_site_label
_atom_site_type_symbol
_atom_site_fract_x
_atom_site_fract_y
_atom_site_fract_z
_atom_site_occupancy
Nd1 Nd 0.000 0.000 0.000 1
Nd2 Nd 0.000 0.280 0.500 1
Nd3 Nd 0.179 0.386 0.000 1
Ho1 Ho 0.000 0.500 0.500 1
Tm1 Tm 0.000 0.205 0.000 1
# VASP energy in eV per cell: -80.98
# D(E_F) in states/eV/f.u.: 15.17
# Formation enthalpy at 0 K in eV/f.u.: 6.4

***

[2]
# SrMoPd GGA-PBE relaxed
data_SrMoPd
_chemical_formula_sum 'Sr2 Mo2 Pd2'
_symmetry_space_group_name_H-M 'P 1 21/m 1'
_symmetry_Int_Tables_number 11
_cell_length_a 4.642
_cell_length_b 3.469
_cell_length_c 8.877
_cell_angle_alpha 90.00
_cell_angle_beta 98.91
_cell_angle_gamma 90.00
loop_
_symmetry_equiv_pos_as_xyz
'x,y,z'
'-x,-y,-z'
'-x,y+1/2,-z'
'x,-y+1/2,z'
loop_
_atom_site_label
_atom_site_type_symbol
_atom_site_fract_x
_atom_site_fract_y
_atom_site_fract_z
_atom_site_occupancy
Sr1 Sr 0.048 0.250 0.211 1
Mo1 Mo 0.379 0.250 0.561 1
Pd1 Pd 0.483 0.250 0.880 1
# VASP energy in eV per cell: -34.12
# Polymorph energy (0 for the lowest one) in eV per atom: 0.1507
# D(E_F) in states/eV/f.u.: 1.64
# Formation enthalpy at 0 K in eV/f.u.: 0.6

***

[3]
# TlSi3 GGA-PBE relaxed
data_TlSi3
_chemical_formula_sum 'Tl2 Si6'
_symmetry_space_group_name_H-M 'C m m m'
_symmetry_Int_Tables_number 65
_symmetry_space_group_name_Hall '-C 2 2'
_cell_length_a 5.818
_cell_length_b 8.913
_cell_length_c 2.986
_cell_angle_alpha 90.00
_cell_angle_beta 90.00
_cell_angle_gamma 90.00
loop_
_atom_site_label
_atom_site_type_symbol
_atom_site_fract_x
_atom_site_fract_y
_atom_site_fract_z
_atom_site_occupancy
Tl1 Tl 0.000 0.000 0.000 1
Si1 Si 0.000 0.500 0.000 1
Si2 Si 0.250 0.250 0.500 1
# VASP energy in eV per cell: -31.03
# Polymorph energy (0 for the lowest one) in eV per atom: 0.4140
# D(E_F) in states/eV/f.u.: 1.26
# ΔE_f (raw) in eV/atom: 0.7802

***

[4]
# Zr2PaV GGA-PBE relaxed
data_Zr2PaV
_chemical_formula_sum 'Zr8 Pa4 V4'
_symmetry_space_group_name_H-M 'F m -3 m'
_symmetry_Int_Tables_number 225
_symmetry_space_group_name_Hall '-F 4 2 3'
_cell_length_a 6.937
_cell_length_b 6.937
_cell_length_c 6.937
_cell_angle_alpha 90.00
_cell_angle_beta 90.00
_cell_angle_gamma 90.00
loop_
_atom_site_label
_atom_site_type_symbol
_atom_site_fract_x
_atom_site_fract_y
_atom_site_fract_z
_atom_site_occupancy
Zr1 Zr 0.250 0.250 0.250 1
Pa1 Pa 0.000 0.000 0.000 1
V1 V 0.000 0.000 0.500 1
# VASP energy in eV per cell: -139.69
# Polymorph energy (0 for the lowest one) in eV per atom: 0.0046
# D(E_F) in states/eV/f.u.: 6.75
# Formation enthalpy at 0 K in eV/f.u.: 0.8

***

[5]
# ScNiI2 GGA-PBE relaxed
data_ScNiI2
_chemical_formula_sum 'Sc4 Ni4 I8'
_symmetry_space_group_name_H-M 'I -4 2 d'
_symmetry_Int_Tables_number 122
_symmetry_space_group_name_Hall 'I -4 2bw'
_cell_length_a 6.363
_cell_length_b 6.363
_cell_length_c 11.645
_cell_angle_alpha 90.00
_cell_angle_beta 90.00
_cell_angle_gamma 90.00
loop_
_atom_site_label
_atom_site_type_symbol
_atom_site_fract_x
_atom_site_fract_y
_atom_site_fract_z
_atom_site_occupancy
Sc1 Sc 0.000 0.000 0.000 1
Ni1 Ni 0.000 0.000 0.500 1
I1 I 0.205 0.250 0.625 1
# VASP energy in eV per cell: -63.21
# Polymorph energy (0 for the lowest one) in eV per atom: 0.0000
# D(E_F) in states/eV/f.u.: 5.73
# ΔE_f (raw) in eV/atom: -0.1472

***

[6]
# LaTiCo3 GGA-PBE relaxed
data_LaTiCo3
_chemical_formula_sum 'La1 Ti1 Co3'
_symmetry_space_group_name_H-M 'P m -3 m'
_symmetry_Int_Tables_number 221
_symmetry_space_group_name_Hall '-P 4 2 3'
_cell_length_a 4.438
_cell_length_b 4.438
_cell_length_c 4.438
_cell_angle_alpha 90.00
_cell_angle_beta 90.00
_cell_angle_gamma 90.00
loop_
_atom_site_label
_atom_site_type_symbol
_atom_site_fract_x
_atom_site_fract_y
_atom_site_fract_z
_atom_site_occupancy
La1 La 0.000 0.000 0.000 1
Ti1 Ti 0.500 0.500 0.500 1
Co1 Co 0.000 0.500 0.500 1
# VASP energy in eV per cell: -32.61
# Polymorph energy (0 for the lowest one) in eV per atom: 0.0000
# D(E_F) in states/eV/f.u.: 3.42
# Formation enthalpy at 0 K in eV/f.u.: 1.5

***

[7]
# HfNb2Tc2 GGA-PBE relaxed
data_HfNb2Tc2
_chemical_formula_sum 'Hf2 Nb4 Tc4'
_symmetry_space_group_name_H-M 'C m m m'
_symmetry_Int_Tables_number 65
_symmetry_space_group_name_Hall '-C 2 2'
_cell_length_a 3.206
_cell_length_b 17.453
_cell_length_c 3.182
_cell_angle_alpha 90.00
_cell_angle_beta 90.00
_cell_angle_gamma 90.00
loop_
_atom_site_label
_atom_site_type_symbol
_atom_site_fract_x
_atom_site_fract_y
_atom_site_fract_z
_atom_site_occupancy
Hf1 Hf 0.000 0.000 0.000 1
Nb1 Nb 0.000 0.183 0.000 1
Tc1 Tc 0.000 0.403 0.500 1
# VASP energy in eV per cell: -102.56
# Polymorph energy (0 for the lowest one) in eV per atom: 0.0000
# D(E_F) in states/eV/f.u.: 4.09
# Formation enthalpy at 0 K in eV/f.u.: -0.5

***

[8]
# Na2LiZnP2 GGA-PBE relaxed
data_Na2LiZnP2
_chemical_formula_sum 'Na8 Li4 Zn4 P8'
_symmetry_space_group_name_H-M 'I b a m'
_symmetry_Int_Tables_number 72
_symmetry_space_group_name_Hall '-I 2 2c'
_cell_length_a 5.682
_cell_length_b 13.928
_cell_length_c 5.732
_cell_angle_alpha 90.00
_cell_angle_beta 90.00
_cell_angle_gamma 90.00
loop_
_atom_site_label
_atom_site_type_symbol
_atom_site_fract_x
_atom_site_fract_y
_atom_site_fract_z
_atom_site_occupancy
Na1 Na 0.242 0.178 0.000 1
Li1 Li 0.000 0.000 0.250 1
Zn1 Zn 0.000 0.500 0.250 1
P1 P 0.238 0.393 0.000 1
# VASP energy in eV per cell: -76.28
# D(E_F) in states/eV/f.u.: 2.43
# Formation enthalpy at 0 K in eV/f.u.: -2.4